68
Lattice="8.733 0.000 0.000 0.000 7.663 0.000 -8.234 0.000 9.468" Properties=species:S:1:pos:R:3 comment="SmCoB5O10 (GGA+U, optimized geometry)" density_g_cm3=4.44 total_energy_ev_per_cell=-539.46 m_tot_mub_per_fu=3.02 pbc="T T T"
Sm -1.488 1.434 2.245
Sm -5.605 2.398 6.980
Sm 6.103 5.266 2.489
Sm 1.986 6.229 7.223
Co -3.070 4.535 8.262
Co 1.047 6.960 3.528
Co -0.549 0.703 5.940
Co 3.568 3.129 1.206
B -4.201 5.157 5.744
B -0.084 6.338 1.010
B -6.881 4.570 9.463
B -2.764 6.925 4.729
B 1.945 0.253 0.503
B -2.172 3.579 5.237
B 0.896 4.430 2.474
B -3.221 7.065 7.208
B -3.304 1.426 8.647
B 0.813 2.406 3.913
B -0.315 5.257 5.555
B 3.803 6.238 0.821
B 3.720 0.598 2.260
B -0.397 3.234 6.995
B 2.671 4.085 4.231
B -1.446 7.411 8.965
B 3.263 0.739 4.740
B 7.380 3.093 0.006
B 0.582 1.325 8.459
B 4.700 2.506 3.724
O -7.864 5.557 9.324
O -3.747 5.938 4.590
O -6.766 0.826 8.670
O -2.649 3.006 3.935
O -6.247 4.178 8.335
O -2.130 7.317 3.600
O -0.136 5.480 2.233
O -4.253 6.015 6.967
O -3.308 4.019 6.106
O 0.809 7.476 1.371
O 1.672 4.087 1.241
O -2.445 7.408 5.975
O -3.859 0.659 7.643
O 0.258 3.173 2.909
O -1.375 4.799 4.816
O 2.742 6.696 0.082
O 0.205 1.172 4.066
O -3.912 2.659 8.801
O 2.813 1.152 1.251
O -1.304 2.680 5.986
O 1.802 4.983 3.483
O -2.315 6.512 8.217
O 4.411 5.004 0.668
O 0.294 6.491 5.402
O -2.244 0.967 9.386
O 1.873 2.864 4.652
O 0.240 4.490 6.559
O 4.357 7.005 1.825
O 2.944 0.255 3.493
O -1.173 3.576 8.228
O -0.311 0.188 8.097
O 3.806 3.644 3.363
O 4.752 1.648 2.501
O 0.635 2.183 7.236
O 2.628 0.346 5.868
O 6.745 3.486 1.134
O 3.148 4.658 5.533
O 7.265 6.838 0.799
O 4.245 1.725 4.878
O 8.362 2.106 0.144